Compound: RbAcO2
Source: the Alexandria database
Functional: PBE-GGA
Structure: optimized geometry

## Properties
**Formation energy without anion corrections**: -2.49 eV per atom
**VASP energy**: -6.23 eV per atom
**M_tot**: 0.0 μB/f.u.
**Relative energy among the computed polymorphs**: 0.94 kcal/mol of atoms

Lattice parameters (Å, degrees): 3.865 3.865 7.191 74.41 74.41 60.00
Fractional positions:
Ac 0.667 0.667 0.999
O 0.063 0.063 0.811
O 0.274 0.274 0.177
Rb 0.495 0.495 0.514